No. 1
Material: Pr2HoEr6Sc3
Method: DFT, PBE
State: optimized geometry

For the energy relative to the elements, the calculation gives 0.0475 eV/atom.

It has space group C2/m (No. 12), with a = 6.055 Å, b = 10.487 Å, c = 11.481 Å, α = 90.00°, β = 100.12° and γ = 90.00°. The distinct sites, in fractional coordinates, are Pr at (0.000, 0.167, 0.000), Ho at (0.000, 0.500, 0.000), Er at (0.245, 0.500, 0.738), Er at (0.246, 0.166, 0.738), Sc at (0.000, 0.000, 0.500) and Sc at (0.000, 0.334, 0.500).

No. 2
Material: PrHo2Er4Sc
Method: DFT, PBE
State: optimized geometry

For the energy relative to the elements, the calculation gives 0.4447 eV/atom.

It has space group Imma (No. 74), with a = 6.710 Å, b = 11.579 Å, c = 13.079 Å, α = 90.00°, β = 90.00° and γ = 90.00°. The distinct sites, in fractional coordinates, are Pr at (0.250, 0.250, 0.250), Ho at (0.000, 0.000, 0.000), Ho at (0.250, 0.250, 0.750), Er at (0.000, 0.002, 0.742), Er at (0.244, 0.250, 0.502) and Sc at (0.000, 0.000, 0.500).